This record from Alexandria via LeMat-Bulk describes crystalline Ta3Cu2Pd8 at its relaxed geometry. The functional is GGA-PBE.

Cell lengths 9.799, 9.799, 9.799 Å; angles 30.63, 30.63, 30.63 degrees
Sites, in units of the cell vectors:
Ta: 0.000 0.000 0.000
Ta: 0.189 0.189 0.189
Ta: 0.811 0.811 0.811
Cu: 0.365 0.365 0.365
Cu: 0.635 0.635 0.635
Pd: 0.226 0.727 0.727
Pd: 0.273 0.273 0.774
Pd: 0.273 0.774 0.273
Pd: 0.280 0.280 0.280
Pd: 0.720 0.720 0.720
Pd: 0.727 0.226 0.727
Pd: 0.727 0.727 0.226
Pd: 0.774 0.273 0.273

Values from the calculation:
The value obtained for the spin magnetization is 0.00 μB/cell. The space group is R-3m, No. 166. The value obtained for the energy of formation from the pure elements is 75 meV per atom. As for the final energy: -84.32 eV for the cell shown.

***

This record from Alexandria via LeMat-Bulk describes crystalline Dy5HgBi2 at its relaxed geometry. The functional is GGA-PBE.

Cell lengths 6.564, 6.564, 14.391 Å; angles 90.00, 90.00, 127.57 degrees
Sites, in units of the cell vectors:
Dy: 0.070 0.930 0.603
Dy: 0.070 0.930 0.897
Dy: 0.379 0.621 0.550
Dy: 0.379 0.621 0.950
Dy: 0.421 0.579 0.250
Dy: 0.579 0.421 0.750
Dy: 0.621 0.379 0.050
Dy: 0.621 0.379 0.450
Dy: 0.930 0.070 0.103
Dy: 0.930 0.070 0.397
Hg: 0.288 0.712 0.750
Hg: 0.712 0.288 0.250
Bi: 0.201 0.799 0.116
Bi: 0.201 0.799 0.384
Bi: 0.799 0.201 0.616
Bi: 0.799 0.201 0.884

Values from the calculation:
The value obtained for the spin magnetization is 0.00 μB/cell. The space group is Cmcm, No. 63. The value obtained for the energy of formation from the pure elements is -283 meV per atom. As for the final energy: -66.67 eV for the cell shown.

***

This record from Alexandria via LeMat-Bulk describes crystalline CrNiOs2 at its relaxed geometry. The functional is GGA-PBE.

Cell lengths 2.802, 4.299, 4.459 Å; angles 90.00, 90.00, 90.00 degrees
Sites, in units of the cell vectors:
Cr: 0.000 0.000 0.000
Ni: 0.500 0.000 0.500
Os: 0.000 0.500 0.500
Os: 0.500 0.500 0.000

Values from the calculation:
The value obtained for the spin magnetization is 1.45 μB/cell. The space group is Pmmm, No. 47. The value obtained for the energy above the most stable polymorph in this dataset is 306.8 meV/atom. The value obtained for the energy of formation from the pure elements is 380 meV per atom. As for the final energy: -36.34 eV for the cell shown.

***

This record from Alexandria via LeMat-Bulk describes crystalline Ca12Bi4PbN3 at its relaxed geometry. The functional is GGA-PBE.

Cell lengths 8.929, 8.929, 8.929 Å; angles 109.47, 109.47, 109.47 degrees
Sites, in units of the cell vectors:
Ca: 0.000 0.278 0.278
Ca: 0.000 0.722 0.722
Ca: 0.250 0.500 0.750
Ca: 0.250 0.750 0.500
Ca: 0.278 0.000 0.278
Ca: 0.278 0.278 0.000
Ca: 0.500 0.250 0.750
Ca: 0.500 0.750 0.250
Ca: 0.722 0.000 0.722
Ca: 0.722 0.722 0.000
Ca: 0.750 0.250 0.500
Ca: 0.750 0.500 0.250
Bi: 0.000 0.000 0.500
Bi: 0.000 0.500 0.000
Bi: 0.500 0.000 0.000
Bi: 0.500 0.500 0.500
Pb: 0.000 0.000 0.000
N: 0.000 0.500 0.500
N: 0.500 0.000 0.500
N: 0.500 0.500 0.000

Values from the calculation:
The value obtained for the spin magnetization is 0.00 μB/cell. As for the formation energy without anion corrections: -75 kJ/mol of atoms. The space group is Im-3m, No. 229. As for the final energy: -83.86 eV for the cell shown.

***

This record from Alexandria via LeMat-Bulk describes crystalline ScZnP2Cl at its relaxed geometry. The functional is GGA-PBE.

Cell lengths 5.066, 5.066, 4.864 Å; angles 90.00, 90.00, 90.00 degrees
Sites, in units of the cell vectors:
Sc: 0.000 0.000 0.000
Zn: 0.500 0.500 0.500
P: 0.000 0.500 0.000
P: 0.500 0.000 0.000
Cl: 0.000 0.000 0.500

Values from the calculation:
The value obtained for the spin magnetization is 0.80 μB/cell. As for the formation energy without anion corrections: 3 kJ/mol of atoms. The space group is P4/mmm, No. 123. The value obtained for the energy above the most stable polymorph in this dataset is 0.0 meV/atom. As for the final energy: -20.11 eV for the cell shown.

***

This record from Alexandria via LeMat-Bulk describes crystalline Sr2GaSnS5 at its relaxed geometry. The functional is GGA-PBE.

Cell lengths 9.201, 9.201, 12.373 Å; angles 90.00, 90.00, 155.34 degrees
Sites, in units of the cell vectors:
Sr: 0.111 0.889 0.500
Sr: 0.125 0.875 0.139
Sr: 0.875 0.125 0.639
Sr: 0.889 0.111 0.000
Ga: 0.443 0.557 0.255
Ga: 0.557 0.443 0.755
Sn: 0.213 0.787 0.850
Sn: 0.787 0.213 0.350
S: 0.040 0.960 0.858
S: 0.283 0.717 0.499
S: 0.320 0.680 0.195
S: 0.354 0.646 0.823
S: 0.498 0.502 0.594
S: 0.502 0.498 0.094
S: 0.646 0.354 0.323
S: 0.680 0.320 0.695
S: 0.717 0.283 0.999
S: 0.960 0.040 0.358

Values from the calculation:
The value obtained for the spin magnetization is 0.00 μB/cell. As for the formation energy without anion corrections: -120 kJ/mol of atoms. The space group is Cmc2_1, No. 36. As for the final energy: -84.37 eV for the cell shown.

***

This record from Alexandria via LeMat-Bulk describes crystalline ZrNpS2 at its relaxed geometry. The functional is GGA-PBE.

Cell lengths 6.995, 6.995, 6.995 Å; angles 30.62, 30.62, 30.62 degrees
Sites, in units of the cell vectors:
Zr: 0.000 0.000 0.000
Np: 0.822 0.822 0.822
S: 0.406 0.406 0.406
S: 0.584 0.584 0.584

Values from the calculation:
The value obtained for the spin magnetization is 4.37 μB/cell. As for the formation energy without anion corrections: -132 kJ/mol of atoms. The space group is R3m, No. 160. The value obtained for the energy above the most stable polymorph in this dataset is 79.1 meV/atom. As for the final energy: -35.20 eV for the cell shown.

***

This record from Alexandria via LeMat-Bulk describes crystalline H2RuPt at its relaxed geometry. The functional is GGA-PBE.

Cell lengths 5.088, 5.088, 5.088 Å; angles 34.60, 34.60, 34.60 degrees
Sites, in units of the cell vectors:
H: 0.122 0.122 0.122
H: 0.878 0.878 0.878
Ru: 0.000 0.000 0.000
Pt: 0.500 0.500 0.500

Values from the calculation:
The value obtained for the spin magnetization is 0.00 μB/cell. The space group is R-3m, No. 166. The value obtained for the energy above the most stable polymorph in this dataset is 239.2 meV/atom. As for the final energy: -20.31 eV for the cell shown.

***

This record from Alexandria via LeMat-Bulk describes crystalline La2Ga3Ni4 at its relaxed geometry. The functional is GGA-PBE.

Cell lengths 8.324, 8.324, 6.921 Å; angles 90.00, 90.00, 140.02 degrees
Sites, in units of the cell vectors:
La: 0.107 0.893 0.921
La: 0.393 0.607 0.421
La: 0.607 0.393 0.579
La: 0.893 0.107 0.079
Ga: 0.000 0.000 0.500
Ga: 0.016 0.484 0.750
Ga: 0.484 0.016 0.250
Ga: 0.500 0.500 0.000
Ga: 0.516 0.984 0.750
Ga: 0.984 0.516 0.250
Ni: 0.171 0.829 0.507
Ni: 0.176 0.324 0.750
Ni: 0.324 0.176 0.250
Ni: 0.329 0.671 0.007
Ni: 0.671 0.329 0.993
Ni: 0.676 0.824 0.750
Ni: 0.824 0.676 0.250
Ni: 0.829 0.171 0.493

Values from the calculation:
The value obtained for the spin magnetization is 0.00 μB/cell. The space group is Cmce, No. 64. The value obtained for the energy of formation from the pure elements is -489 meV per atom. As for the final energy: -92.93 eV for the cell shown.

***

This record from Alexandria via LeMat-Bulk describes crystalline LiGaRu2C at its relaxed geometry. The functional is GGA-PBE.

Cell lengths 4.005, 4.005, 3.895 Å; angles 90.00, 90.00, 90.00 degrees
Sites, in units of the cell vectors:
Li: 0.000 0.000 0.000
Ga: 0.500 0.500 0.000
Ru: 0.000 0.500 0.500
Ru: 0.500 0.000 0.500
C: 0.000 0.000 0.500

Values from the calculation:
The value obtained for the spin magnetization is 0.00 μB/cell. The space group is P4/mmm, No. 123. The value obtained for the energy of formation from the pure elements is -55 meV per atom. As for the final energy: -32.99 eV for the cell shown.

***

This record from Alexandria via LeMat-Bulk describes crystalline KZrCo2 at its relaxed geometry. The functional is GGA-PBE.

Cell lengths 4.815, 4.815, 7.386 Å; angles 105.53, 105.53, 38.13 degrees
Sites, in units of the cell vectors:
K: 0.000 0.000 0.000
Zr: 0.163 0.163 0.520
Co: 0.460 0.460 0.577
Co: 0.830 0.830 0.370

Values from the calculation:
The value obtained for the spin magnetization is 2.09 μB/cell. The space group is Cm, No. 8. The value obtained for the energy above the most stable polymorph in this dataset is 183.3 meV/atom. The value obtained for the energy of formation from the pure elements is 585 meV per atom. As for the final energy: -21.52 eV for the cell shown.

***

This record from Alexandria via LeMat-Bulk describes crystalline BeSbI2 at its relaxed geometry. The functional is GGA-PBE.

Cell lengths 5.377, 5.377, 5.377 Å; angles 60.00, 60.00, 60.00 degrees
Sites, in units of the cell vectors:
Be: 0.000 0.000 0.000
Sb: 0.500 0.500 0.500
I: 0.250 0.250 0.250
I: 0.750 0.750 0.750

Values from the calculation:
The value obtained for the spin magnetization is 0.00 μB/cell. As for the formation energy without anion corrections: 77 kJ/mol of atoms. The space group is Fm-3m, No. 225. The value obtained for the energy above the most stable polymorph in this dataset is 417.7 meV/atom. As for the final energy: -7.75 eV for the cell shown.

***

This record from Alexandria via LeMat-Bulk describes crystalline CdTc2Ag at its relaxed geometry. The functional is GGA-PBE.

Cell lengths 5.498, 5.498, 5.498 Å; angles 145.52, 134.60, 58.23 degrees
Sites, in units of the cell vectors:
Cd: 0.000 0.000 0.000
Tc: 0.251 0.751 0.500
Tc: 0.749 0.249 0.500
Ag: 0.500 0.500 0.000

Values from the calculation:
The value obtained for the spin magnetization is 0.00 μB/cell. The space group is Immm, No. 71. The value obtained for the energy of formation from the pure elements is 539 meV per atom. As for the final energy: -22.34 eV for the cell shown.

***

This record from Alexandria via LeMat-Bulk describes crystalline Ca2Cd3Ga2 at its relaxed geometry. The functional is GGA-PBE.

Cell lengths 5.906, 5.906, 6.959 Å; angles 100.97, 100.97, 45.34 degrees
Sites, in units of the cell vectors:
Ca: 0.121 0.121 0.343
Ca: 0.879 0.879 0.657
Cd: 0.198 0.198 0.860
Cd: 0.500 0.500 0.000
Cd: 0.802 0.802 0.140
Ga: 0.408 0.408 0.341
Ga: 0.592 0.592 0.659

Values from the calculation:
The value obtained for the spin magnetization is 0.00 μB/cell. The space group is C2/m, No. 12. The value obtained for the energy above the most stable polymorph in this dataset is 0.0 meV/atom. The value obtained for the energy of formation from the pure elements is -327 meV per atom. As for the final energy: -15.09 eV for the cell shown.

***

This record from Alexandria via LeMat-Bulk describes crystalline FeRuPb2 at its relaxed geometry. The functional is GGA-PBE.

Cell lengths 8.717, 8.717, 8.717 Å; angles 21.79, 21.79, 21.79 degrees
Sites, in units of the cell vectors:
Fe: 0.000 0.000 0.000
Ru: 0.500 0.500 0.500
Pb: 0.248 0.248 0.248
Pb: 0.752 0.752 0.752

Values from the calculation:
The value obtained for the spin magnetization is 2.87 μB/cell. The space group is R-3m, No. 166. The value obtained for the energy above the most stable polymorph in this dataset is 348.8 meV/atom. The value obtained for the energy of formation from the pure elements is 663 meV per atom. As for the final energy: -22.50 eV for the cell shown.

***

This record from Alexandria via LeMat-Bulk describes crystalline NdIn3Ag2 at its relaxed geometry. The functional is GGA-PBE.

Cell lengths 8.790, 8.790, 8.790 Å; angles 148.51, 123.59, 66.04 degrees
Sites, in units of the cell vectors:
Nd: 0.129 0.129 0.000
Nd: 0.871 0.871 0.000
In: 0.122 0.326 0.796
In: 0.334 0.000 0.334
In: 0.470 0.674 0.796
In: 0.530 0.326 0.204
In: 0.666 0.000 0.666
In: 0.878 0.674 0.204
Ag: 0.163 0.500 0.663
Ag: 0.303 0.803 0.500
Ag: 0.697 0.197 0.500
Ag: 0.837 0.500 0.337

Values from the calculation:
The value obtained for the spin magnetization is 0.00 μB/cell. The space group is Immm, No. 71. The value obtained for the energy above the most stable polymorph in this dataset is 0.0 meV/atom. The value obtained for the energy of formation from the pure elements is -247 meV per atom. As for the final energy: -40.33 eV for the cell shown.

***

This record from Alexandria via LeMat-Bulk describes crystalline Sr2TcMoS at its relaxed geometry. The functional is GGA-PBE.

Cell lengths 5.623, 5.623, 4.489 Å; angles 90.00, 90.00, 90.00 degrees
Sites, in units of the cell vectors:
Sr: 0.000 0.500 0.000
Sr: 0.500 0.000 0.000
Tc: 0.000 0.000 0.500
Mo: 0.500 0.500 0.500
S: 0.500 0.500 0.000

Values from the calculation:
The value obtained for the spin magnetization is 4.07 μB/cell. As for the formation energy without anion corrections: 54 kJ/mol of atoms. The space group is P4/mmm, No. 123. As for the final energy: -25.89 eV for the cell shown.